(1)
{"formula": "PaHPt", "functional": "PBE", "state": "relaxed", "de_polymorph_mev_per_atom": 53, "n_ef_per_ev_cell": 5.8, "vol_a3_per_atom": 15.89, "cell": [[2.862, -2.665, 0.000], [2.862, 2.665, 0.000], [-0.951, 0.000, 6.252]], "species": ["Pa", "Pa", "H", "H", "Pt", "Pt"], "frac_coords": [[0.213, 0.213, 0.297], [0.787, 0.787, 0.703], [0.258, 0.742, 0.500], [0.742, 0.258, 0.500], [0.304, 0.304, 0.842], [0.696, 0.696, 0.158]]}

=====

(2)
{"formula": "Pa2H2Pt", "functional": "PBE", "state": "relaxed", "n_ef_per_ev_cell": 12.3, "vol_a3_per_atom": 15.03, "cell": [[4.584, -3.655, 0.000], [4.584, 3.655, 0.000], [-3.411, 0.000, 4.487]], "species": ["Pa", "Pa", "Pa", "Pa", "H", "H", "H", "H", "Pt", "Pt"], "frac_coords": [[0.001, 0.333, 0.155], [0.333, 0.001, 0.655], [0.667, 0.999, 0.345], [0.999, 0.667, 0.845], [0.004, 0.748, 0.494], [0.252, 0.996, 0.006], [0.748, 0.004, 0.994], [0.996, 0.252, 0.506], [0.497, 0.503, 0.250], [0.503, 0.497, 0.750]]}

=====

(3)
{"formula": "Pa2HPt", "functional": "PBE", "state": "relaxed", "n_ef_per_ev_cell": 5.6, "vol_a3_per_atom": 18.38, "cell": [[2.095, 1.210, 4.834], [-2.095, 1.210, 4.834], [0.000, -2.419, 4.834]], "species": ["Pa", "Pa", "H", "Pt"], "frac_coords": [[0.228, 0.228, 0.228], [0.772, 0.772, 0.772], [0.500, 0.500, 0.500], [0.000, 0.000, 0.000]]}

=====

(4)
{"formula": "PaH8PtRh4", "functional": "PBE", "state": "relaxed", "n_ef_per_ev_cell": 7.0, "vol_a3_per_atom": 9.16, "cell": [[2.834, 1.636, 4.607], [-2.834, 1.636, 4.607], [0.000, -3.272, 4.607]], "species": ["Pa", "H", "H", "H", "H", "H", "H", "H", "H", "Pt", "Rh", "Rh", "Rh", "Rh"], "frac_coords": [[0.000, 0.000, 0.000], [0.291, 0.291, 0.898], [0.291, 0.898, 0.291], [0.384, 0.384, 0.384], [0.479, 0.838, 0.838], [0.838, 0.479, 0.838], [0.838, 0.838, 0.479], [0.842, 0.842, 0.842], [0.898, 0.291, 0.291], [0.619, 0.619, 0.619], [0.132, 0.625, 0.625], [0.248, 0.248, 0.248], [0.625, 0.132, 0.625], [0.625, 0.625, 0.132]]}

=====

(5)
{"formula": "PaH8Pt2Rh", "functional": "PBE", "state": "relaxed", "n_ef_per_ev_cell": 0.6, "vol_a3_per_atom": 10.42, "cell": [[5.004, 0.000, 0.000], [-2.502, 4.334, 0.000], [0.000, 0.000, 5.764]], "species": ["Pa", "H", "H", "H", "H", "H", "H", "H", "H", "Pt", "Pt", "Rh"], "frac_coords": [[0.000, 0.000, 0.000], [0.167, 0.333, 0.335], [0.167, 0.833, 0.335], [0.333, 0.167, 0.665], [0.333, 0.667, 0.836], [0.667, 0.333, 0.164], [0.667, 0.833, 0.335], [0.833, 0.167, 0.665], [0.833, 0.667, 0.665], [0.333, 0.667, 0.113], [0.667, 0.333, 0.887], [0.000, 0.000, 0.500]]}

=====

(6)
{"formula": "PaSiHPt", "functional": "PBE", "state": "relaxed", "n_ef_per_ev_cell": 0.2, "vol_a3_per_atom": 15.18, "cell": [[4.201, 0.000, 0.000], [-2.100, 3.638, 0.000], [0.000, 0.000, 3.972]], "species": ["Pa", "Si", "H", "Pt"], "frac_coords": [[0.000, 0.000, 0.000], [0.333, 0.667, 0.529], [0.667, 0.333, 0.002], [0.667, 0.333, 0.465]]}

=====

(7)
{"formula": "PuPaH", "functional": "PBE", "state": "relaxed", "de_polymorph_mev_per_atom": 0, "n_ef_per_ev_cell": 8.1, "vol_a3_per_atom": 17.69, "cell": [[3.263, 0.000, 0.000], [-1.632, 2.826, 0.000], [0.000, 0.000, 5.755]], "species": ["Pu", "Pa", "H"], "frac_coords": [[0.000, 0.000, 0.000], [0.667, 0.333, 0.485], [0.333, 0.667, 0.739]]}

=====

(8)
{"formula": "PuPaH", "functional": "PBE", "state": "relaxed", "de_polymorph_mev_per_atom": 146, "n_ef_per_ev_cell": 4.9, "vol_a3_per_atom": 16.94, "cell": [[-1.549, 1.549, 5.296], [1.549, -1.549, 5.296], [1.549, 1.549, -5.296]], "species": ["Pu", "Pa", "H"], "frac_coords": [[0.000, 0.000, 0.000], [0.736, 0.736, 0.000], [0.366, 0.366, 0.000]]}

=====

Number 1: VASP energy -7.014 eV/atom. Number 2: VASP energy -6.884 eV/atom. Number 3: VASP energy -7.493 eV/atom. Number 4: VASP energy -5.249 eV/atom. Number 5: VASP energy -4.783 eV/atom. Number 6: VASP energy -6.887 eV/atom. Number 7: VASP energy -9.066 eV/atom. Number 8: VASP energy -8.921 eV/atom.